Below is a geometry-optimized AlGa2W structure, with properties calculated at the PBE level.

Unit cell a=2.8342 b=2.8342 c=29.8985 alpha=90.00 beta=90.00 gamma=120.00
Space group R-3m (No. 166, hexagonal axes)
One atom of each set of equivalent atoms:
Al 0.0000 0.0000 0.0000 (multiplicity 3)
Ga 0.0000 0.0000 0.0905 (multiplicity 6)
W 0.0000 0.0000 0.5000 (multiplicity 3)

## Properties
Calculated volume   208 Å³ per cell
DFT total energy   -5.534 eV per atom



Below is a geometry-optimized Al4Ga2W structure, with properties calculated at the PBE level.

Unit cell a=6.850 b=6.850 c=4.872 alpha=90.00 beta=90.00 gamma=90.00
Space group I4/mmm (No. 139)
One atom of each set of equivalent atoms:
Al 0.192 0.192 0.000 (multiplicity 8)
Ga 0.000 0.500 0.250 (multiplicity 4)
W 0.000 0.000 0.500 (multiplicity 2)

## Properties
Calculated volume   229 Å³ per cell
DFT total energy   -4.496 eV per atom



Below is a geometry-optimized AlGaW structure, with properties calculated at the PBE level.

Unit cell a=4.982 b=8.359 c=5.075 alpha=90.00 beta=118.99 gamma=90.00
Space group C2 (No. 5)
One atom of each set of equivalent atoms:
Al 0.000 0.000 0.000 (multiplicity 2)
Al 0.000 0.246 0.500 (multiplicity 2)
Ga 0.000 0.668 0.000 (multiplicity 2)
Ga 0.000 0.915 0.500 (multiplicity 2)
W 0.000 0.336 0.000 (multiplicity 2)
W 0.000 0.582 0.500 (multiplicity 2)

## Properties
Calculated volume   185 Å³ per cell
Energy above the lowest structure with this stoichiometry   0.0 meV per atom



Below is a geometry-optimized AlGaW structure, with properties calculated at the PBE level.

Unit cell a=4.2969 b=4.2969 c=19.1889 alpha=90.00 beta=90.00 gamma=120.00
Space group R-3m (No. 166, hexagonal axes)
One atom of each set of equivalent atoms:
Al 0.0000 0.0000 0.1352 (multiplicity 6)
Ga 0.0000 0.0000 0.4167 (multiplicity 6)
W 0.0000 0.0000 0.2804 (multiplicity 6)

## Properties
Calculated volume   307 Å³ per cell
Energy above the lowest structure with this stoichiometry   428.5 meV per atom



Below is a geometry-optimized Al5Ga2W structure, with properties calculated at the PBE level.

Unit cell a=5.382 b=5.384 c=5.675 alpha=104.59 beta=104.50 gamma=117.86
Space group P1 (No. 1)
One atom of each set of equivalent atoms:
Al 0.000 0.000 0.000 (multiplicity 1)
Al 0.016 0.990 0.509 (multiplicity 1)
Al 0.423 0.896 0.835 (multiplicity 1)
Al 0.521 0.495 0.508 (multiplicity 1)
Al 0.942 0.415 0.836 (multiplicity 1)
Ga 0.418 0.895 0.310 (multiplicity 1)
Ga 0.524 0.466 0.989 (multiplicity 1)
W 0.939 0.406 0.344 (multiplicity 1)

## Properties
Calculated volume   127 Å³ per cell
DFT total energy   -4.726 eV per atom



Below is a geometry-optimized Al4Ga3W2 structure, with properties calculated at the PBE level.

Unit cell a=9.265 b=3.649 c=8.794 alpha=90.00 beta=110.99 gamma=90.00
Space group C2/m (No. 12)
One atom of each set of equivalent atoms:
Al 0.016 0.000 0.174 (multiplicity 4)
Al 0.172 0.500 0.389 (multiplicity 4)
Ga 0.000 0.000 0.500 (multiplicity 2)
Ga 0.170 0.500 0.046 (multiplicity 4)
W 0.154 0.500 0.711 (multiplicity 4)

## Properties
Calculated volume   278 Å³ per cell
DFT total energy   -5.601 eV per atom



Below is a geometry-optimized AlGa2W2 structure, with properties calculated at the PBE level.

Unit cell a=6.609 b=6.609 c=3.512 alpha=90.00 beta=90.00 gamma=90.00
Space group P4/mbm (No. 127)
One atom of each set of equivalent atoms:
Al 0.000 0.000 0.000 (multiplicity 2)
Ga 0.130 0.370 0.000 (multiplicity 4)
W 0.172 0.672 0.500 (multiplicity 4)

## Properties
Calculated volume   153 Å³ per cell
DFT total energy   -6.881 eV per atom



Below is a geometry-optimized AlGa2W structure, with properties calculated at the PBE level.

Unit cell a=7.229 b=7.229 c=5.285 alpha=90.00 beta=90.00 gamma=90.00
Space group I-42d (No. 122)
One atom of each set of equivalent atoms:
Al 0.000 0.000 0.000 (multiplicity 4)
Ga 0.245 0.250 0.625 (multiplicity 8)
W 0.000 0.000 0.500 (multiplicity 4)

## Properties
Calculated volume   276 Å³ per cell
DFT total energy   -5.152 eV per atom



Below is a geometry-optimized AlGaW structure, with properties calculated at the PBE level.

Unit cell a=2.729 b=2.729 c=14.367 alpha=90.00 beta=90.00 gamma=90.00
Space group I4mm (No. 107)
One atom of each set of equivalent atoms:
Al 0.000 0.000 0.000 (multiplicity 2)
Ga 0.000 0.000 0.178 (multiplicity 2)
W 0.000 0.000 0.818 (multiplicity 2)

## Properties
Calculated volume   107 Å³ per cell
Energy above the lowest structure with this stoichiometry   495.0 meV per atom



Below is a geometry-optimized YAl2Ga3 structure, with properties calculated at the PBE level.

Unit cell a=4.5893 b=4.5893 c=6.2341 alpha=90.00 beta=90.00 gamma=120.00
Space group P-3m1 (No. 164)
One atom of each set of equivalent atoms:
Y 0.0000 0.0000 0.0000 (multiplicity 1)
Al 0.3333 0.6667 0.6973 (multiplicity 2)
Ga 0.0000 0.0000 0.5000 (multiplicity 1)
Ga 0.3333 0.6667 0.2591 (multiplicity 2)

## Properties
Calculated volume   114 Å³ per cell
Energy above the lowest structure with this stoichiometry   0.0 meV per atom



Below is a geometry-optimized YAlGa structure, with properties calculated at the PBE level.

Unit cell a=10.700 b=4.293 c=7.064 alpha=90.00 beta=129.75 gamma=90.00
Space group C2/m (No. 12)
One atom of each set of equivalent atoms:
Y 0.060 0.000 0.313 (multiplicity 4)
Al 0.162 0.500 0.101 (multiplicity 4)
Ga 0.163 0.500 0.708 (multiplicity 4)

## Properties
Calculated volume   249 Å³ per cell
DFT total energy   -5.002 eV per atom



Below is a geometry-optimized YAl2Ga structure, with properties calculated at the PBE level.

Unit cell a=4.198 b=4.198 c=20.186 alpha=90.00 beta=90.00 gamma=90.00
Space group I-42d (No. 122)
One atom of each set of equivalent atoms:
Y 0.000 0.000 0.000 (multiplicity 4)
Al 0.218 0.250 0.625 (multiplicity 8)
Ga 0.000 0.000 0.500 (multiplicity 4)

## Properties
Calculated volume   356 Å³ per cell
DFT total energy   -4.282 eV per atom



Below is a geometry-optimized Y5Al2Ga structure, with properties calculated at the PBE level.

Unit cell a=7.741 b=7.741 c=14.296 alpha=90.00 beta=90.00 gamma=90.00
Space group I4/mcm (No. 140)
One atom of each set of equivalent atoms:
Y 0.000 0.000 0.000 (multiplicity 4)
Y 0.170 0.330 0.149 (multiplicity 16)
Al 0.121 0.379 0.500 (multiplicity 8)
Ga 0.000 0.000 0.250 (multiplicity 4)

## Properties
Calculated volume   857 Å³ per cell
DFT total energy   -5.741 eV per atom



Below is a geometry-optimized YAlGa3 structure, with properties calculated at the PBE level.

Unit cell a=5.530 b=5.530 c=5.530 alpha=90.00 beta=90.00 gamma=90.00
Space group Pm-3m (No. 221)
One atom of each set of equivalent atoms:
Y 0.000 0.000 0.000 (multiplicity 1)
Al 0.500 0.500 0.500 (multiplicity 1)
Ga 0.000 0.000 0.500 (multiplicity 3)

## Properties
Calculated volume   169 Å³ per cell
Energy above the lowest structure with this stoichiometry   1066.6 meV per atom



Below is a geometry-optimized YAl2Ga structure, with properties calculated at the PBE level.

Unit cell a=5.732 b=7.068 c=4.330 alpha=90.00 beta=90.00 gamma=90.00
Space group Cmmm (No. 65)
One atom of each set of equivalent atoms:
Y 0.000 0.000 0.000 (multiplicity 2)
Al 0.000 0.305 0.500 (multiplicity 4)
Ga 0.000 0.500 0.000 (multiplicity 2)

## Properties
Calculated volume   175 Å³ per cell
DFT total energy   -4.420 eV per atom



Below is a geometry-optimized Y2Al3Ga structure, with properties calculated at the PBE level.

Unit cell a=3.520 b=4.534 c=7.818 alpha=90.00 beta=90.00 gamma=90.00
Space group Pmm2 (No. 25)
One atom of each set of equivalent atoms:
Y 0.000 0.000 0.000 (multiplicity 1)
Y 0.000 0.500 0.497 (multiplicity 1)
Al 0.500 0.000 0.664 (multiplicity 1)
Al 0.500 0.500 0.166 (multiplicity 1)
Al 0.500 0.500 0.831 (multiplicity 1)
Ga 0.500 0.000 0.333 (multiplicity 1)

## Properties
Calculated volume   125 Å³ per cell
DFT total energy   -5.076 eV per atom



Below is a geometry-optimized Y2Al2Ga3 structure, with properties calculated at the PBE level.

Unit cell a=4.208 b=18.859 c=7.209 alpha=90.00 beta=90.00 gamma=90.00
Space group Cmcm (No. 63)
One atom of each set of equivalent atoms:
Y 0.000 0.055 0.250 (multiplicity 4)
Y 0.000 0.154 0.750 (multiplicity 4)
Al 0.000 0.321 0.566 (multiplicity 8)
Ga 0.000 0.227 0.250 (multiplicity 4)
Ga 0.000 0.443 0.077 (multiplicity 8)

## Properties
Calculated volume   572 Å³ per cell
Energy above the lowest structure with this stoichiometry   0.0 meV per atom



Below is a geometry-optimized Y4AlGa12 structure, with properties calculated at the PBE level.

Unit cell a=8.741 b=8.741 c=8.741 alpha=90.00 beta=90.00 gamma=90.00
Space group Im-3m (No. 229)
One atom of each set of equivalent atoms:
Y 0.250 0.250 0.250 (multiplicity 8)
Al 0.000 0.000 0.000 (multiplicity 2)
Ga 0.000 0.000 0.305 (multiplicity 12)
Ga 0.000 0.250 0.500 (multiplicity 12)

## Properties
Calculated volume   668 Å³ per cell
DFT total energy   -4.365 eV per atom



Below is a geometry-optimized YAl2Ga3 structure, with properties calculated at the PBE level.

Unit cell a=5.539 b=5.562 c=8.632 alpha=71.61 beta=83.07 gamma=67.88
Space group P-1 (No. 2)
One atom of each set of equivalent atoms:
Y 0.250 0.166 0.172 (multiplicity 2)
Al 0.042 0.745 0.498 (multiplicity 2)
Al 0.457 0.256 0.501 (multiplicity 2)
Ga 0.142 0.190 0.783 (multiplicity 2)
Ga 0.251 0.740 0.020 (multiplicity 2)
Ga 0.360 0.526 0.780 (multiplicity 2)

## Properties
Calculated volume   234 Å³ per cell
Energy above the lowest structure with this stoichiometry   47.8 meV per atom



Below is a geometry-optimized YAlGa structure, with properties calculated at the PBE level.

Unit cell a=4.241 b=15.798 c=4.011 alpha=90.00 beta=90.00 gamma=90.00
Space group Cmcm (No. 63)
One atom of each set of equivalent atoms:
Y 0.000 0.096 0.250 (multiplicity 4)
Al 0.000 0.286 0.250 (multiplicity 4)
Ga 0.000 0.451 0.250 (multiplicity 4)

## Properties
Calculated volume   269 Å³ per cell
DFT total energy   -4.812 eV per atom



Below is a geometry-optimized Y2AlGa12 structure, with properties calculated at the PBE level.

Unit cell a=5.887 b=5.887 c=16.979 alpha=90.00 beta=90.00 gamma=90.00
Space group P4/nbm (No. 125, origin choice 2)
One atom of each set of equivalent atoms:
Y 0.250 0.750 0.226 (multiplicity 4)
Al 0.250 0.750 0.500 (multiplicity 2)
Ga 0.002 0.502 0.396 (multiplicity 8)
Ga 0.075 0.575 0.934 (multiplicity 8)
Ga 0.250 0.250 0.153 (multiplicity 4)
Ga 0.250 0.250 0.298 (multiplicity 4)

## Properties
Calculated volume   588 Å³ per cell
DFT total energy   -3.791 eV per atom



Below is a geometry-optimized Y2Al3Ga4 structure, with properties calculated at the PBE level.

Unit cell a=5.799 b=15.342 c=7.835 alpha=90.00 beta=90.00 gamma=90.00
Space group Cmce (No. 64)
One atom of each set of equivalent atoms:
Y 0.000 0.112 0.087 (multiplicity 8)
Al 0.000 0.000 0.500 (multiplicity 4)
Al 0.250 0.220 0.750 (multiplicity 8)
Ga 0.000 0.180 0.462 (multiplicity 8)
Ga 0.250 0.052 0.750 (multiplicity 8)

## Properties
Calculated volume   697 Å³ per cell
DFT total energy   -4.474 eV per atom



Below is a geometry-optimized YAlGa3 structure, with properties calculated at the PBE level.

Unit cell a=4.856 b=4.856 c=4.856 alpha=90.00 beta=90.00 gamma=90.00
Space group Pm-3m (No. 221)
One atom of each set of equivalent atoms:
Y 0.000 0.000 0.000 (multiplicity 1)
Al 0.500 0.500 0.500 (multiplicity 1)
Ga 0.000 0.500 0.500 (multiplicity 3)

## Properties
Calculated volume   115 Å³ per cell
Energy above the lowest structure with this stoichiometry   342.2 meV per atom